1.
Below is crystalline Li3Ca5 at its relaxed geometry, with properties calculated at the PBEsol level.

Cell: 9.582 9.582 6.802 Å, 90.00 90.00 120.00°
Element x y z (fractional)
Li1 0.000 0.405 0.250
Li2 0.000 0.595 0.750
Li3 0.405 0.000 0.250
Li4 0.405 0.405 0.750
Li5 0.595 0.000 0.750
Li6 0.595 0.595 0.250
Ca1 0.000 0.243 0.750
Ca2 0.000 0.757 0.250
Ca3 0.243 0.000 0.750
Ca4 0.243 0.243 0.250
Ca5 0.333 0.667 0.000
Ca6 0.333 0.667 0.500
Ca7 0.667 0.333 0.000
Ca8 0.667 0.333 0.500
Ca9 0.757 0.000 0.250
Ca10 0.757 0.757 0.750

Values from the calculation:
* ΔE_f: 0.04 eV per atom
* E: -2.03 eV per atom
* density of states at the Fermi level: 14.05 states/eV per cell
* excess energy over the best structure of this formula in the dataset: 0.0000 eV per atom
* magnetization: 0.00 μB/cell
* space-group type: P6_3/mcm (193)


2.
Below is crystalline KAuCl2 at its relaxed geometry, with properties calculated at the PBEsol level.

Cell: 5.018 5.018 5.018 Å, 60.00 60.00 60.00°
Element x y z (fractional)
K1 0.000 0.000 0.000
Au1 0.750 0.750 0.750
Cl1 0.250 0.250 0.250
Cl2 0.500 0.500 0.500

Values from the calculation:
* E: -2.55 eV per atom
* density of states at the Fermi level: 3.03 states/eV per cell
* excess energy over the best structure of this formula in the dataset: 0.7399 eV per atom
* magnetization: 0.05 μB/cell
* space-group type: F-43m (216)


3.
Below is crystalline Er2Mo2C3 at its relaxed geometry, with properties calculated at the PBEsol level.

Cell: 5.836 5.836 5.597 Å, 107.61 107.61 33.10°
Element x y z (fractional)
Er1 0.115 0.115 0.320
Er2 0.885 0.885 0.680
Mo1 0.351 0.351 0.130
Mo2 0.649 0.649 0.870
C1 0.231 0.231 0.757
C2 0.500 0.500 0.000
C3 0.769 0.769 0.243

Values from the calculation:
* ΔE_f: -0.42 eV per atom
* E: -9.32 eV per atom
* density of states at the Fermi level: 2.44 states/eV per cell
* magnetization: 0.00 μB/cell
* space-group type: C2/m (12)


Q: Which value of magnetization does entry 2 give?
A: 0.05 μB/cell